{"formula": "PmDy2Th", "functional": "GGA-PBE", "state": "optimized geometry", "e_form_ev_per_atom": 0.148, "final_energy_ev_per_atom": -5.196, "spacegroup": "Fm-3m (225)", "lattice_angstrom": [[-5.3733, -1.4543, -1.1865], [-1.1115, -4.9904, -2.5012], [-2.5399, -4.1560, 2.9448]], "species": ["Pm", "Th", "Dy", "Dy"], "frac_coords": [[0.5000, 0.5000, 0.5000], [0.0000, 0.0000, 0.0000], [0.2500, 0.2500, 0.2500], [0.7500, 0.7500, 0.7500]]}

***

{"formula": "Pm4Zn2In", "functional": "GGA-PBE", "state": "optimized geometry", "e_form_ev_per_atom": -0.231, "final_energy_ev_per_atom": -3.701, "spacegroup": "R-3m (166)", "lattice_angstrom": [[4.9607, 0.0000, 1.5498], [2.2382, 4.4270, 1.5498], [-0.0380, -0.0234, 8.8357]], "species": ["Pm", "Pm", "Pm", "Pm", "Zn", "Zn", "In"], "frac_coords": [[0.8675, 0.8675, 0.3976], [0.1325, 0.1325, 0.6024], [0.6145, 0.6145, 0.1566], [0.3856, 0.3856, 0.8434], [0.7442, 0.7442, 0.7674], [0.2558, 0.2558, 0.2326], [0.0000, 0.0000, 0.0000]]}

***

{"formula": "Dy2Al2GeRh5", "functional": "GGA-PBE", "state": "optimized geometry", "e_form_ev_per_atom": -0.844, "final_energy_ev_per_atom": -6.651, "spacegroup": "P4/mbm (127)", "lattice_angstrom": [[3.4434, 0.0000, 0.0000], [0.0000, 9.8387, 0.0000], [0.0000, 0.0000, 9.8387]], "species": ["Dy", "Dy", "Dy", "Dy", "Al", "Al", "Al", "Al", "Ge", "Ge", "Rh", "Rh", "Rh", "Rh", "Rh", "Rh", "Rh", "Rh", "Rh", "Rh"], "frac_coords": [[0.0000, 0.6741, 0.1741], [0.0000, 0.3259, 0.8259], [0.0000, 0.1741, 0.3259], [0.0000, 0.8259, 0.6741], [0.0000, 0.1242, 0.6242], [0.0000, 0.8758, 0.3758], [0.0000, 0.6242, 0.8758], [0.0000, 0.3758, 0.1242], [0.0000, 0.0000, 0.0000], [0.0000, 0.5000, 0.5000], [0.5000, 0.2018, 0.0665], [0.5000, 0.7982, 0.9335], [0.5000, 0.0665, 0.7982], [0.5000, 0.7018, 0.4335], [0.5000, 0.9335, 0.2018], [0.5000, 0.2982, 0.5665], [0.5000, 0.5665, 0.7018], [0.5000, 0.4335, 0.2982], [0.5000, 0.5000, 0.0000], [0.5000, 0.0000, 0.5000]]}